Density functional theory data (PBE) for RbBa2Bi after structural relaxation.

Cell lengths 5.151, 5.151, 12.255 Å; angles 77.87, 77.87, 60.00 degrees
Atoms (fractional coordinates):
Rb 0.500 0.500 0.500
Ba 0.281 0.281 0.157
Ba 0.719 0.719 0.843
Bi 0.000 0.000 0.000

Calculated values
Size of the total moment: 0.01 μB/cell
SG: No. 166
Calculated formation energy: -0.48 eV per atom